[1]
The following is a PBE calculation of Nd4Y3Er3 after structural relaxation, from the Alexandria database.

Structure (POSCAR):
```
Nd4Y3Er3
1.0
3.813 0.000 0.000
0.000 9.329 -0.040
0.000 0.042 9.329
Nd Er Y
4 3 3
direct
0.000 0.130 0.133
0.000 0.867 0.870
0.000 0.370 0.630
0.000 0.631 0.369
0.500 0.332 0.332
0.500 0.832 0.168
0.500 0.668 0.668
0.000 0.000 0.500
0.500 0.168 0.832
0.000 0.500 0.000
```

Properties
symmetry = Amm2
V = 331.8 Å³/f.u.
VASP energy = -5.13 eV per atom
DOS(E_F) = 0.812 states/eV/atom
energy of formation from the pure elements = 90 meV per atom

=====

[2]
The following is a PBE calculation of Nd5Y4Er2 after structural relaxation, from the Alexandria database.

Structure (POSCAR):
```
Nd5Y4Er2
1.0
-2.009 1.771 -2.420
-6.850 -0.156 5.574
6.704 9.173 3.838
Nd Y Er
5 4 2
direct
0.774 0.185 0.548
0.864 0.910 0.729
0.500 0.000 0.000
0.136 0.090 0.271
0.226 0.815 0.452
0.045 0.366 0.089
0.319 0.546 0.638
0.955 0.634 0.911
0.681 0.454 0.362
0.410 0.277 0.820
0.590 0.723 0.180
```

Properties
symmetry = C2/m
V = 366.2 Å³/f.u.
VASP energy = -5.33 eV per atom
DOS(E_F) = 1.442 states/eV/atom
energy of formation from the pure elements = 18 meV per atom